No. 1
A geometry-optimized CdH2O2 structure. Source: the Alexandria database, functional PBE.

POSCAR file:
```
CdH2O2
1.0
-2.396 -5.643 -0.180
5.620 -2.365 -0.660
0.222 -0.174 2.511
O H Cd
4 4 2
Direct
0.173 0.673 0.000
0.827 0.327 0.000
0.327 0.173 0.000
0.673 0.827 0.000
0.145 0.645 0.500
0.355 0.145 0.500
0.855 0.355 0.500
0.645 0.855 0.500
0.500 0.500 0.000
0.000 0.000 0.000
```

* SG: P4/mbm
* raw total energy: -4.027 eV per atom
* D(E_F): 0.036 states/eV/f.u.

---

No. 2
A geometry-optimized CdH3O structure. Source: the Alexandria database, functional PBE.

POSCAR file:
```
CdH3O
1.0
3.712 0.000 0.000
0.000 3.712 0.000
0.000 0.000 3.712
H Cd O
3 1 1
Direct
0.000 0.500 0.000
0.000 0.000 0.500
0.500 0.000 0.000
0.000 0.000 0.000
0.500 0.500 0.500
```

* SG: Pm-3m
* raw total energy: -2.260 eV per atom
* D(E_F): 3.167 states/eV/f.u.

---

No. 3
A geometry-optimized CdH3O3 structure. Source: the Alexandria database, functional PBE.

POSCAR file:
```
CdH3O3
1.0
-2.149 0.312 -2.307
-1.764 -7.023 0.695
-3.488 5.032 3.929
O H Cd
6 6 2
Direct
0.250 0.255 0.407
0.750 0.849 0.255
0.750 0.407 0.151
0.250 0.151 0.745
0.750 0.745 0.593
0.250 0.593 0.849
0.750 0.772 0.099
0.250 0.673 0.772
0.750 0.901 0.673
0.250 0.228 0.901
0.250 0.099 0.327
0.750 0.327 0.228
0.250 0.667 0.333
0.750 0.333 0.667
```

* SG: P6_3/m
* raw total energy: -4.433 eV per atom
* D(E_F): 5.062 states/eV/f.u.